The following is a GGA-PBEsol calculation of crystalline Mn2SiC2 at its relaxed geometry, from the Alexandria database.

Results
- ΔE_f (raw): 0.90 eV/f.u.
- VASP energy: -43.653 eV for the cell shown

Unit cell a=2.724 b=2.724 c=6.013 alpha=103.09 beta=103.09 gamma=90.00
Sites, in units of the cell vectors:
Si 0.000 0.000 0.000
Mn 0.375 0.375 0.750
Mn 0.625 0.625 0.250
C 0.250 0.750 0.500
C 0.750 0.250 0.500



The following is a GGA-PBEsol calculation of crystalline InPtBr2 at its relaxed geometry, from the Alexandria database.

Results
- ΔE_f (raw): 0.74 eV/f.u.
- VASP energy: -12.944 eV for the cell shown

Unit cell a=3.388 b=4.412 c=5.898 alpha=90.00 beta=90.00 gamma=90.00
Sites, in units of the cell vectors:
Br 0.000 0.000 0.000
Br 0.500 0.000 0.500
Pt 0.000 0.500 0.500
In 0.500 0.500 0.000



The following is a GGA-PBEsol calculation of crystalline LaNiPd3 at its relaxed geometry, from the Alexandria database.

Results
- Formation energy: -0.08 eV per atom
- VASP energy: -29.762 eV for the cell shown

Unit cell a=4.585 b=4.585 c=4.585 alpha=90.00 beta=90.00 gamma=90.00
Sites, in units of the cell vectors:
Ni 0.000 0.000 0.000
Pd 0.000 0.500 0.000
Pd 0.000 0.000 0.500
Pd 0.500 0.000 0.000
La 0.500 0.500 0.500



The following is a GGA-PBEsol calculation of crystalline NbRh2I at its relaxed geometry, from the Alexandria database.

Results
- ΔE_f (raw): 1.90 eV/f.u.
- VASP energy: -26.964 eV for the cell shown

Unit cell a=4.595 b=4.595 c=4.595 alpha=60.00 beta=60.00 gamma=60.00
Sites, in units of the cell vectors:
I 0.500 0.500 0.500
Nb 0.000 0.000 0.000
Rh 0.250 0.250 0.250
Rh 0.750 0.750 0.750



The following is a GGA-PBEsol calculation of crystalline CdSbS2Br at its relaxed geometry, from the Alexandria database.

Results
- ΔE_f (raw): -2.62 eV/f.u.
- VASP energy: -38.023 eV for the cell shown

Unit cell a=3.921 b=6.711 c=9.472 alpha=91.29 beta=90.00 gamma=106.99
Sites, in units of the cell vectors:
Sb 0.281 0.562 0.691
Sb 0.719 0.438 0.309
S 0.914 0.829 0.742
S 0.353 0.706 0.447
S 0.647 0.294 0.553
S 0.086 0.171 0.258
Br 0.362 0.723 0.076
Br 0.638 0.277 0.924
Cd 0.000 0.000 0.000
Cd 0.000 0.000 0.500



The following is a GGA-PBEsol calculation of crystalline MgFe2GeS at its relaxed geometry, from the Alexandria database.

Results
- ΔE_f (raw): 6.59 eV/f.u.
- VASP energy: -22.381 eV for the cell shown

Unit cell a=4.434 b=4.664 c=4.664 alpha=90.00 beta=90.00 gamma=90.00
Sites, in units of the cell vectors:
S 0.500 0.000 0.000
Ge 0.500 0.500 0.500
Mg 0.000 0.000 0.000
Fe 0.000 0.000 0.500
Fe 0.000 0.500 0.000